Entry 1:
VASP calculation (GGA-PBE) on a relaxed LaNb2TlB crystal.

Unit cell a=5.103 b=4.530 c=5.103 alpha=90.00 beta=90.00 gamma=90.00
Fractional coordinates of all 5 atoms:
1 Tl 0.500 0.500 0.500
2 B 0.000 0.500 0.000
3 Nb 0.000 0.000 0.500
4 Nb 0.500 0.000 0.000
5 La 0.000 0.000 0.000

Properties
M_tot = 0.00 μB/f.u.
N(E_F) = 9.26 states/eV/f.u.
ΔH_f (0 K) = 2.00 eV/atom
space group = P4/mmm, No. 123

=====

Entry 2:
VASP calculation (GGA-PBE) on a relaxed LaNdB crystal.

Unit cell a=3.293 b=8.337 c=11.765 alpha=90.00 beta=90.00 gamma=90.00
Fractional coordinates of all 12 atoms:
1 La 0.750 0.986 0.714
2 La 0.250 0.486 0.786
3 La 0.250 0.014 0.286
4 La 0.750 0.514 0.214
5 B 0.750 0.023 0.482
6 B 0.250 0.523 0.018
7 B 0.250 0.977 0.518
8 B 0.750 0.477 0.982
9 Nd 0.750 0.707 0.515
10 Nd 0.250 0.207 0.985
11 Nd 0.250 0.293 0.485
12 Nd 0.750 0.793 0.015

Properties
M_tot = 0.00 μB/f.u.
N(E_F) = 3.75 states/eV/f.u.
ΔH_f (0 K) = -0.08 eV/atom
space group = Pnma, No. 62

=====

Entry 3:
VASP calculation (GGA-PBE) on a relaxed LaNi8B4 crystal.

Unit cell a=4.545 b=5.895 c=5.895 alpha=81.45 beta=67.32 gamma=67.32
Fractional coordinates of all 13 atoms:
1 La 0.000 0.000 0.000
2 Ni 0.000 0.342 0.658
3 Ni 0.000 0.658 0.342
4 Ni 0.342 0.658 0.658
5 Ni 0.658 0.342 0.342
6 Ni 0.500 0.768 0.232
7 Ni 0.500 0.232 0.768
8 Ni 0.268 0.232 0.232
9 Ni 0.732 0.768 0.768
10 B 0.000 0.000 0.500
11 B 0.500 0.000 0.500
12 B 0.000 0.500 0.000
13 B 0.500 0.500 0.000

Properties
M_tot = 0.00 μB/f.u.
N(E_F) = 8.05 states/eV/f.u.
ΔH_f (0 K) = -0.07 eV/atom
space group = I4/mmm, No. 139

=====

Entry 4:
VASP calculation (GGA-PBE) on a relaxed LaNi4B crystal.

Unit cell a=5.782 b=5.294 c=6.859 alpha=103.30 beta=123.47 gamma=76.83
Fractional coordinates of all 12 atoms:
1 La 0.781 0.807 0.975
2 La 0.219 0.193 0.025
3 Ni 0.584 0.279 0.756
4 Ni 0.731 0.401 0.159
5 Ni 0.416 0.721 0.244
6 Ni 0.269 0.599 0.841
7 Ni 0.871 0.879 0.545
8 Ni 0.283 0.642 0.495
9 Ni 0.129 0.121 0.455
10 Ni 0.717 0.358 0.505
11 B 0.500 0.000 0.500
12 B 0.000 0.500 0.500

Properties
M_tot = 0.00 μB/f.u.
N(E_F) = 3.69 states/eV/f.u.
ΔH_f (0 K) = -0.25 eV/atom
space group = P-1, No. 2

=====

Entry 5:
VASP calculation (GGA-PBE) on a relaxed LaNi12B6 crystal.

Unit cell a=6.062 b=6.062 c=6.062 alpha=104.54 beta=104.54 gamma=104.54
Fractional coordinates of all 19 atoms:
1 La 0.000 0.000 0.000
2 Ni 0.868 0.132 0.500
3 Ni 0.813 0.542 0.542
4 Ni 0.542 0.542 0.813
5 Ni 0.458 0.187 0.458
6 Ni 0.458 0.458 0.187
7 Ni 0.187 0.458 0.458
8 Ni 0.132 0.500 0.868
9 Ni 0.500 0.868 0.132
10 Ni 0.132 0.868 0.500
11 Ni 0.868 0.500 0.132
12 Ni 0.500 0.132 0.868
13 Ni 0.542 0.813 0.542
14 B 0.661 0.233 0.233
15 B 0.233 0.233 0.661
16 B 0.233 0.661 0.233
17 B 0.767 0.767 0.339
18 B 0.339 0.767 0.767
19 B 0.767 0.339 0.767

Properties
M_tot = 0.00 μB/f.u.
N(E_F) = 7.58 states/eV/f.u.
ΔH_f (0 K) = -0.40 eV/atom
space group = R-3m, No. 166

=====

Entry 6:
VASP calculation (GGA-PBE) on a relaxed LaNi4B2 crystal.

Unit cell a=6.093 b=3.098 c=6.093 alpha=121.33 beta=106.52 gamma=58.67
Fractional coordinates of all 7 atoms:
1 La 0.000 0.000 0.000
2 Ni 0.527 0.557 0.819
3 Ni 0.473 0.443 0.181
4 Ni 0.819 0.443 0.527
5 Ni 0.181 0.557 0.473
6 B 0.426 0.908 0.574
7 B 0.574 0.092 0.426

Properties
M_tot = 0.00 μB/f.u.
N(E_F) = 3.72 states/eV/f.u.
ΔH_f (0 K) = -0.18 eV/atom
space group = C2/m, No. 12

=====

Entry 7:
VASP calculation (GGA-PBE) on a relaxed LaNi2B crystal.

Unit cell a=3.717 b=3.717 c=5.485 alpha=70.20 beta=70.20 gamma=60.00
Fractional coordinates of all 4 atoms:
1 Ni 0.802 0.802 0.595
2 Ni 0.198 0.198 0.405
3 B 0.500 0.500 0.500
4 La 0.000 0.000 0.000

Properties
M_tot = 0.00 μB/f.u.
N(E_F) = 3.48 states/eV/f.u.
ΔH_f (0 K) = -0.25 eV/atom
space group = R-3m, No. 166

=====

Entry 8:
VASP calculation (GGA-PBE) on a relaxed LaNi4B crystal.

Unit cell a=5.104 b=5.104 c=7.010 alpha=90.00 beta=90.00 gamma=120.00
Fractional coordinates of all 12 atoms:
1 La 0.000 0.000 0.500
2 La 0.000 0.000 0.000
3 Ni 0.333 0.667 0.000
4 Ni 0.667 0.333 0.000
5 Ni 0.500 0.000 0.295
6 Ni 0.500 0.500 0.295
7 Ni 0.000 0.500 0.295
8 Ni 0.500 0.000 0.705
9 Ni 0.500 0.500 0.705
10 Ni 0.000 0.500 0.705
11 B 0.667 0.333 0.500
12 B 0.333 0.667 0.500

Properties
M_tot = 0.00 μB/f.u.
N(E_F) = 2.22 states/eV/f.u.
ΔH_f (0 K) = -0.42 eV/atom
space group = P6/mmm, No. 191

=====

Entry 9:
VASP calculation (GGA-PBE) on a relaxed LaNi4B4 crystal.

Unit cell a=5.130 b=5.130 c=7.233 alpha=90.00 beta=90.00 gamma=90.00
Fractional coordinates of all 18 atoms:
1 La 0.000 0.000 0.000
2 La 0.500 0.500 0.500
3 Ni 0.252 0.500 0.866
4 Ni 0.748 0.500 0.866
5 Ni 0.500 0.748 0.134
6 Ni 0.500 0.252 0.134
7 Ni 0.000 0.752 0.366
8 Ni 0.000 0.248 0.366
9 Ni 0.248 0.000 0.634
10 Ni 0.752 0.000 0.634
11 B 0.500 0.832 0.838
12 B 0.500 0.168 0.838
13 B 0.832 0.500 0.162
14 B 0.168 0.500 0.162
15 B 0.332 0.000 0.338
16 B 0.668 0.000 0.338
17 B 0.000 0.332 0.662
18 B 0.000 0.668 0.662

Properties
M_tot = 0.00 μB/f.u.
N(E_F) = 6.90 states/eV/f.u.
ΔH_f (0 K) = -0.34 eV/atom
space group = P4_2/nmc, No. 137

=====

Entry 10:
VASP calculation (GGA-PBE) on a relaxed LaNi12B6 crystal.

Unit cell a=6.070 b=6.070 c=11.087 alpha=90.00 beta=90.00 gamma=104.73
Fractional coordinates of all 38 atoms:
1 La 0.332 0.332 0.500
2 La 0.668 0.668 0.000
3 Ni 0.354 0.620 0.744
4 Ni 0.380 0.646 0.244
5 Ni 0.844 0.225 0.933
6 Ni 0.156 0.775 0.433
7 Ni 0.775 0.156 0.433
8 Ni 0.620 0.354 0.744
9 Ni 0.870 0.506 0.563
10 Ni 0.130 0.494 0.063
11 Ni 0.494 0.130 0.063
12 Ni 0.506 0.870 0.563
13 Ni 0.025 0.290 0.725
14 Ni 0.975 0.710 0.225
15 Ni 0.710 0.975 0.225
16 Ni 0.290 0.025 0.725
17 Ni 0.305 0.040 0.265
18 Ni 0.695 0.960 0.765
19 Ni 0.960 0.695 0.765
20 Ni 0.040 0.305 0.265
21 Ni 0.277 0.277 0.899
22 Ni 0.723 0.723 0.399
23 Ni 0.930 0.930 0.584
24 Ni 0.070 0.070 0.084
25 Ni 0.225 0.844 0.933
26 Ni 0.646 0.380 0.244
27 B 0.486 0.897 0.378
28 B 0.514 0.103 0.878
29 B 0.251 0.824 0.114
30 B 0.749 0.176 0.614
31 B 0.176 0.749 0.614
32 B 0.824 0.251 0.114
33 B 0.014 0.014 0.838
34 B 0.986 0.986 0.338
35 B 0.336 0.336 0.167
36 B 0.664 0.664 0.667
37 B 0.103 0.514 0.878
38 B 0.897 0.486 0.378

Properties
M_tot = 0.00 μB/f.u.
N(E_F) = 8.11 states/eV/f.u.
ΔH_f (0 K) = -0.40 eV/atom
space group = Cmc2_1, No. 36

=====

Entry 11:
VASP calculation (GGA-PBE) on a relaxed LaNi2B crystal.

Unit cell a=4.553 b=4.553 c=7.365 alpha=72.00 beta=72.00 gamma=90.00
Fractional coordinates of all 8 atoms:
1 Ni 0.376 0.125 0.250
2 Ni 0.374 0.625 0.250
3 Ni 0.375 0.624 0.750
4 Ni 0.875 0.626 0.750
5 B 0.500 0.500 0.000
6 B 0.250 0.750 0.500
7 La 0.000 0.000 0.000
8 La 0.750 0.250 0.500

Properties
M_tot = 0.00 μB/f.u.
N(E_F) = 1.50 states/eV/f.u.
ΔH_f (0 K) = -0.20 eV/atom
space group = I4_1/amd, No. 141

=====

Entry 12:
VASP calculation (GGA-PBE) on a relaxed LaNi6B crystal.

Unit cell a=5.364 b=5.364 c=5.327 alpha=59.77 beta=59.77 gamma=60.00
Fractional coordinates of all 8 atoms:
1 La 0.500 0.500 0.500
2 Ni 0.895 0.895 0.772
3 Ni 0.437 0.895 0.772
4 Ni 0.105 0.563 0.228
5 Ni 0.563 0.105 0.228
6 Ni 0.105 0.105 0.228
7 Ni 0.895 0.437 0.772
8 B 0.000 0.000 0.000

Properties
M_tot = 0.00 μB/f.u.
N(E_F) = 9.67 states/eV/f.u.
ΔH_f (0 K) = -0.10 eV/atom
space group = R-3m, No. 166

=====

Entry 13:
VASP calculation (GGA-PBE) on a relaxed LaNiB2 crystal.

Unit cell a=4.280 b=4.280 c=7.261 alpha=72.86 beta=72.86 gamma=90.00
Fractional coordinates of all 8 atoms:
1 Ni 0.500 0.500 0.000
2 Ni 0.250 0.750 0.500
3 B 0.375 0.125 0.250
4 B 0.375 0.625 0.250
5 B 0.375 0.625 0.750
6 B 0.875 0.625 0.750
7 La 0.000 0.000 0.000
8 La 0.750 0.250 0.500

Properties
M_tot = 0.00 μB/f.u.
N(E_F) = 2.53 states/eV/f.u.
ΔH_f (0 K) = -0.12 eV/atom
space group = I4_1/amd, No. 141

=====

Entry 14:
VASP calculation (GGA-PBE) on a relaxed LaNi4B4 crystal.

Unit cell a=3.711 b=7.332 c=7.332 alpha=90.00 beta=90.00 gamma=90.00
Fractional coordinates of all 18 atoms:
1 La 0.000 0.000 0.000
2 La 0.500 0.500 0.500
3 Ni 0.408 0.354 0.901
4 Ni 0.908 0.599 0.854
5 Ni 0.408 0.646 0.099
6 Ni 0.092 0.146 0.599
7 Ni 0.592 0.901 0.646
8 Ni 0.092 0.854 0.401
9 Ni 0.908 0.401 0.146
10 Ni 0.592 0.099 0.354
11 B 0.594 0.830 0.291
12 B 0.594 0.170 0.709
13 B 0.094 0.791 0.670
14 B 0.906 0.330 0.791
15 B 0.906 0.670 0.209
16 B 0.406 0.291 0.170
17 B 0.406 0.709 0.830
18 B 0.094 0.209 0.330

Properties
M_tot = 0.00 μB/f.u.
N(E_F) = 3.29 states/eV/f.u.
ΔH_f (0 K) = -0.38 eV/atom
space group = P4_2/n, No. 86

=====

Entry 15:
VASP calculation (GGA-PBE) on a relaxed LaNi2B crystal.

Unit cell a=5.349 b=5.408 c=6.004 alpha=73.78 beta=63.55 gamma=51.16
Fractional coordinates of all 8 atoms:
1 La 0.867 0.250 0.266
2 La 0.133 0.750 0.734
3 Ni 0.223 0.550 0.212
4 Ni 0.565 0.950 0.212
5 Ni 0.777 0.450 0.788
6 Ni 0.435 0.050 0.788
7 B 0.244 0.250 0.511
8 B 0.756 0.750 0.489

Properties
M_tot = 0.00 μB/f.u.
N(E_F) = 2.13 states/eV/f.u.
ΔH_f (0 K) = -0.23 eV/atom
space group = C2/c, No. 15

=====

Entry 16:
VASP calculation (GGA-PBE) on a relaxed LaNiB2 crystal.

Unit cell a=4.304 b=4.304 c=4.304 alpha=60.00 beta=60.00 gamma=60.00
Fractional coordinates of all 4 atoms:
1 Ni 0.000 0.000 0.000
2 B 0.250 0.250 0.250
3 B 0.750 0.750 0.750
4 La 0.500 0.500 0.500

Properties
M_tot = 0.00 μB/f.u.
N(E_F) = 1.94 states/eV/f.u.
ΔH_f (0 K) = 0.62 eV/atom
space group = Fm-3m, No. 225

=====

Entry 17:
VASP calculation (GGA-PBE) on a relaxed LaNi2B2 crystal.

Unit cell a=3.250 b=3.982 c=5.609 alpha=102.64 beta=106.84 gamma=90.00
Fractional coordinates of all 5 atoms:
1 La 0.000 0.000 0.000
2 Ni 0.685 0.603 0.370
3 Ni 0.315 0.397 0.630
4 B 0.261 0.877 0.523
5 B 0.739 0.123 0.477

Properties
M_tot = 0.00 μB/f.u.
N(E_F) = 2.48 states/eV/f.u.
ΔH_f (0 K) = -0.35 eV/atom
space group = C2/m, No. 12

=====

Entry 18:
VASP calculation (GGA-PBE) on a relaxed La2Ni5B4 crystal.

Unit cell a=5.542 b=5.542 c=6.820 alpha=59.38 beta=59.38 gamma=55.39
Fractional coordinates of all 11 atoms:
1 La 0.275 0.275 0.647
2 La 0.725 0.725 0.353
3 Ni 0.175 0.671 0.875
4 Ni 0.825 0.329 0.125
5 Ni 0.000 0.000 0.500
6 Ni 0.671 0.175 0.875
7 Ni 0.329 0.825 0.125
8 B 0.402 0.402 0.136
9 B 0.598 0.598 0.864
10 B 0.778 0.778 0.841
11 B 0.222 0.222 0.159

Properties
M_tot = 0.00 μB/f.u.
N(E_F) = 6.24 states/eV/f.u.
ΔH_f (0 K) = -0.48 eV/atom
space group = C2/m, No. 12

=====

Entry 19:
VASP calculation (GGA-PBE) on a relaxed La2NiB10 crystal.

Unit cell a=4.225 b=5.688 c=11.312 alpha=90.00 beta=90.00 gamma=90.00
Fractional coordinates of all 26 atoms:
1 La 0.500 0.309 0.863
2 La 0.500 0.691 0.137
3 La 0.500 0.809 0.637
4 La 0.500 0.191 0.363
5 Ni 0.000 0.500 0.500
6 Ni 0.000 0.000 0.000
7 B 0.000 0.126 0.542
8 B 0.000 0.874 0.458
9 B 0.000 0.626 0.958
10 B 0.000 0.374 0.042
11 B 0.000 0.155 0.697
12 B 0.000 0.845 0.303
13 B 0.299 0.202 0.114
14 B 0.299 0.798 0.886
15 B 0.701 0.702 0.386
16 B 0.701 0.298 0.614
17 B 0.701 0.798 0.886
18 B 0.701 0.202 0.114
19 B 0.299 0.298 0.614
20 B 0.299 0.702 0.386
21 B 0.000 0.037 0.188
22 B 0.000 0.963 0.812
23 B 0.000 0.537 0.312
24 B 0.000 0.463 0.688
25 B 0.000 0.345 0.197
26 B 0.000 0.655 0.803

Properties
M_tot = 0.00 μB/f.u.
N(E_F) = 2.47 states/eV/f.u.
ΔH_f (0 K) = -0.57 eV/atom
space group = Pbam, No. 55

=====

Entry 20:
VASP calculation (GGA-PBE) on a relaxed La2NiBPb crystal.

Unit cell a=5.308 b=4.840 c=5.308 alpha=90.00 beta=90.00 gamma=90.00
Fractional coordinates of all 5 atoms:
1 Pb 0.000 0.500 0.000
2 Ni 0.000 0.000 0.000
3 B 0.500 0.500 0.500
4 La 0.000 0.000 0.500
5 La 0.500 0.000 0.000

Properties
M_tot = 0.00 μB/f.u.
N(E_F) = 4.19 states/eV/f.u.
ΔH_f (0 K) = 0.46 eV/atom
space group = P4/mmm, No. 123

=====

Entry 21:
VASP calculation (GGA-PBE) on a relaxed La2NiBPb crystal.

Unit cell a=5.599 b=5.599 c=3.884 alpha=90.00 beta=90.00 gamma=90.00
Fractional coordinates of all 5 atoms:
1 Pb 0.500 0.500 0.500
2 Ni 0.000 0.000 0.500
3 B 0.000 0.000 0.000
4 La 0.000 0.500 0.000
5 La 0.500 0.000 0.000

Properties
M_tot = 0.00 μB/f.u.
N(E_F) = 6.51 states/eV/f.u.
ΔH_f (0 K) = -0.26 eV/atom
space group = P4/mmm, No. 123

=====

For each record above, in turn, the calculated volume values are 118.0, 323.0, 134.5, 169.1, 196.6, 83.9, 60.4, 158.1, 190.4, 395.1, 137.3, 108.0, 120.9, 199.5, 121.1, 56.4, 67.6, 141.0, 271.8, 136.4, 121.7 Å³/cell.